Density functional theory data (PBE) for a relaxed HoThGeAu crystal.

Results
V, Å³/cell: 201
Total magnetic moment, μB per formula unit: 0.00
E_form, eV per formula unit: -3.0
Distance to the lowest polymorph of the same formula, eV per atom: 0.0000

Lattice parameters (Å, degrees): 4.345 4.177 11.058 90.00 90.00 90.00
Space group Amm2 (No. 38)
Symmetry-distinct sites (fractional):
Ho: 0.000 0.000 0.000
Th: 0.500 0.000 0.278
Ge: 0.000 0.000 0.720
Au: 0.500 0.000 0.552

---

Density functional theory data (PBE) for a relaxed ScSiRh3 crystal.

Results
E_form (uncorrected), meV per atom: -679.8
V, Å³/cell: 321
Total magnetic moment, μB per formula unit: 0.00
Distance to the lowest polymorph of the same formula, eV per atom: 0.0000

Lattice parameters (Å, degrees): 5.416 7.462 7.934 90.00 90.00 90.00
Space group Imma (No. 74)
Symmetry-distinct sites (fractional):
Sc: 0.000 0.250 0.008
Si: 0.000 0.000 0.500
Rh: 0.000 0.250 0.678
Rh: 0.250 0.057 0.250

---

Density functional theory data (PBE) for a relaxed CsGe3Sb crystal.

Results
E_form (uncorrected), meV per atom: 554.7
V, Å³/cell: 174
Total magnetic moment, μB per formula unit: 0.00
Distance to the lowest polymorph of the same formula, eV per atom: 0.0000

Lattice parameters (Å, degrees): 5.578 5.578 5.578 90.00 90.00 90.00
Space group Pm-3m (No. 221)
Symmetry-distinct sites (fractional):
Cs: 0.000 0.000 0.000
Ge: 0.000 0.500 0.500
Sb: 0.500 0.500 0.500

---

Density functional theory data (PBE) for a relaxed La2BeTl crystal.

Results
V, Å³/cell: 218
Total magnetic moment, μB per formula unit: 0.00
E_form, eV per formula unit: 0.7
Distance to the lowest polymorph of the same formula, eV per atom: 0.2676

Lattice parameters (Å, degrees): 4.896 4.911 9.068 90.00 90.00 90.00
Space group Cmm2 (No. 35)
Symmetry-distinct sites (fractional):
La: 0.000 0.000 0.000
La: 0.000 0.500 0.347
Be: 0.000 0.500 0.783
Tl: 0.000 0.000 0.621